# FeIrI2O (PBE+U, optimized geometry)
# energy above the lowest structure with this stoichiometry: 0 meV/atom
# DOS(E_F): 2.20 states/eV per cell
# crystal system: tetragonal
# total magnetic moment: 4.32 μB/cell
data_FeIrI2O
_cell_length_a 5.6744
_cell_length_b 5.6744
_cell_length_c 3.7574
_cell_angle_alpha 90.00
_cell_angle_beta 90.00
_cell_angle_gamma 90.00
_space_group_name_H-M_alt 'P 4/m m m'
_space_group_IT_number 123
_space_group_name_Hall '-P 4 2'
loop_
_atom_site_label
_atom_site_type_symbol
_atom_site_fract_x
_atom_site_fract_y
_atom_site_fract_z
Fe1 Fe 0.0000 0.0000 0.0000
Ir1 Ir 0.5000 0.5000 0.5000
I1 I 0.0000 0.5000 0.5000
O1 O 0.5000 0.5000 0.0000